# 1
A geometry-optimized Nd7HgBr12 structure. Source: the Alexandria database, functional GGA-PBE.

Properties
- total magnetization (μB per formula unit) = 2.00
- ΔE_f (raw) (eV/atom) = -1.553
- total DFT energy (no corrections) (eV/cell) = -84.8

Cell and atoms, written as POSCAR:
```
Nd7HgBr12
1.0
7.895 4.558 3.201
-7.895 4.558 3.201
0.000 -9.116 3.201
Nd Hg Br
7 1 12
Direct
0.000 0.000 0.000
0.145 0.440 0.361
0.361 0.145 0.440
0.440 0.361 0.145
0.560 0.639 0.855
0.639 0.855 0.560
0.855 0.560 0.639
0.500 0.500 0.500
0.014 0.102 0.341
0.102 0.341 0.014
0.199 0.576 0.716
0.284 0.801 0.424
0.341 0.014 0.102
0.424 0.284 0.801
0.576 0.716 0.199
0.659 0.986 0.898
0.716 0.199 0.576
0.801 0.424 0.284
0.898 0.659 0.986
0.986 0.898 0.659
```



# 2
A geometry-optimized Sm5Bi5H2 structure. Source: the Alexandria database, functional GGA-PBE.

Properties
- total magnetization (μB per formula unit) = 0.00
- total DFT energy (no corrections) (eV/cell) = -56.3

Cell and atoms, written as POSCAR:
```
Sm5Bi5H2
1.0
8.298 -2.279 0.000
8.298 2.279 0.000
-5.970 0.000 9.468
Sm Bi H
5 5 2
Direct
0.000 0.000 0.000
0.094 0.094 0.408
0.280 0.280 0.208
0.720 0.720 0.792
0.906 0.906 0.592
0.312 0.312 0.690
0.368 0.368 0.016
0.500 0.500 0.500
0.632 0.632 0.984
0.688 0.688 0.310
0.003 0.003 0.808
0.997 0.997 0.192
```



# 3
A geometry-optimized MgUAl11 structure. Source: the Alexandria database, functional GGA-PBE.

Properties
- total magnetization (μB per formula unit) = 2.27
- total DFT energy (no corrections) (eV/cell) = -53.8

Cell and atoms, written as POSCAR:
```
MgUAl11
1.0
2.722 -6.439 0.000
2.722 6.439 0.000
-2.679 0.000 6.591
Mg U Al
1 1 11
Direct
0.000 0.000 0.000
0.500 0.500 0.500
0.000 0.500 0.500
0.001 0.216 0.710
0.155 0.513 0.150
0.216 0.001 0.710
0.487 0.845 0.850
0.500 0.000 0.500
0.500 0.500 0.000
0.513 0.155 0.150
0.784 0.999 0.290
0.845 0.487 0.850
0.999 0.784 0.290
```



# 4
A geometry-optimized Sm2TlTe structure. Source: the Alexandria database, functional GGA-PBE.

Properties
- total magnetization (μB per formula unit) = 0.00
- ΔE_f (raw) (eV/atom) = -0.908
- total DFT energy (no corrections) (eV/cell) = -37.2

Cell and atoms, written as POSCAR:
```
Sm2TlTe
1.0
2.278 -12.176 0.000
2.278 12.176 0.000
0.000 0.000 4.422
Sm Tl Te
4 2 2
Direct
0.064 0.936 0.750
0.321 0.679 0.750
0.679 0.321 0.250
0.936 0.064 0.250
0.454 0.546 0.750
0.546 0.454 0.250
0.192 0.808 0.750
0.808 0.192 0.250
```



# 5
A geometry-optimized NaSrP2 structure. Source: the Alexandria database, functional GGA-PBE.

Properties
- total magnetization (μB per formula unit) = 0.00
- total DFT energy (no corrections) (eV/cell) = -29.7

Cell and atoms, written as POSCAR:
```
NaSrP2
1.0
-2.400 2.400 9.038
2.400 -2.400 9.038
2.400 2.400 -9.038
Na Sr P
2 2 4
Direct
0.000 0.000 0.000
0.750 0.250 0.500
0.250 0.750 0.500
0.500 0.500 0.000
0.375 0.235 0.360
0.765 0.125 0.140
0.875 0.015 0.640
0.985 0.625 0.860
```



# 6
A geometry-optimized TlFe2Pd7 structure. Source: the Alexandria database, functional GGA-PBE.

Properties
- total magnetization (μB per formula unit) = 8.29
- total DFT energy (no corrections) (eV/cell) = -52.0

Cell and atoms, written as POSCAR:
```
TlFe2Pd7
1.0
3.629 -6.178 0.000
3.629 6.178 0.000
0.000 0.000 4.382
Tl Fe Pd
1 2 7
Direct
0.000 0.000 0.000
0.302 0.698 0.500
0.698 0.302 0.500
0.069 0.308 0.500
0.220 0.780 0.000
0.308 0.069 0.500
0.500 0.500 0.500
0.692 0.931 0.500
0.780 0.220 0.000
0.931 0.692 0.500
```



# 7
A geometry-optimized AcHo3Pt structure. Source: the Alexandria database, functional GGA-PBE.

Properties
- total magnetization (μB per formula unit) = 0.00
- total DFT energy (no corrections) (eV/cell) = -26.1

Cell and atoms, written as POSCAR:
```
AcHo3Pt
1.0
5.522 0.000 0.000
0.000 5.522 0.000
0.000 0.000 5.522
Ac Ho Pt
1 3 1
Direct
0.000 0.000 0.000
0.000 0.500 0.500
0.500 0.000 0.500
0.500 0.500 0.000
0.500 0.500 0.500
```



# 8
A geometry-optimized YZn3Bi structure. Source: the Alexandria database, functional GGA-PBE.

Properties
- total magnetization (μB per formula unit) = 0.00
- total DFT energy (no corrections) (eV/cell) = -11.3

Cell and atoms, written as POSCAR:
```
YZn3Bi
1.0
5.267 0.000 0.000
0.000 5.267 0.000
0.000 0.000 5.267
Y Zn Bi
1 3 1
Direct
0.000 0.000 0.000
0.000 0.500 0.500
0.500 0.000 0.500
0.500 0.500 0.000
0.500 0.500 0.500
```



Question: Which of these has the lowest total DFT energy (no corrections)?
Answer: Nd7HgBr12